(1)
Entry from the Alexandria database: a relaxed CdGeH crystal (GGA-PBE).

```
6
Lattice="-0.333 -1.244 2.943 0.728 -5.071 -2.062 5.917 1.502 -1.606" Properties=species:S:1:pos:R:3 pbc="T T T"
H 1.528 0.142 0.190
H 4.850 -1.643 -1.643
Cd 4.920 0.363 0.843
Cd 2.326 -2.923 0.615
Ge 2.220 -0.394 1.752
Ge 5.542 -2.178 -0.081
```

Values from the calculation:
* crystal system: monoclinic
* excess energy over the best structure of this formula in the dataset: 143 meV/atom
* E: -2.6157 eV/atom
* mass density: 6.09 g/cm3

***

(2)
Entry from the Alexandria database: a relaxed CdGeH crystal (GGA-PBE).

```
6
Lattice="-2.231 4.673 0.179 -2.581 -1.245 0.329 3.049 -4.537 6.760" Properties=species:S:1:pos:R:3 pbc="T T T"
Cd 0.611 -0.909 1.355
Cd 0.845 -3.800 4.899
H -1.632 0.828 2.979
H 1.183 -0.818 6.195
Ge 0.991 -0.846 4.576
Ge -1.824 0.800 1.361
```

Values from the calculation:
* crystal system: orthorhombic
* excess energy over the best structure of this formula in the dataset: 19 meV/atom
* E: -2.7398 eV/atom
* mass density: 5.92 g/cm3

***

(3)
Entry from the Alexandria database: a relaxed Cd2GeH crystal (GGA-PBE).

```
4
Lattice="0.000 3.299 3.299 3.299 0.000 3.299 3.299 3.299 0.000" Properties=species:S:1:pos:R:3 pbc="T T T"
Ge 3.299 3.299 3.299
Cd 4.949 4.949 4.949
Cd 1.650 1.650 1.650
H 0.000 0.000 0.000
```

Values from the calculation:
* crystal system: cubic
* excess energy over the best structure of this formula in the dataset: 140 meV/atom
* E: -1.9367 eV/atom
* mass density: 6.90 g/cm3

***

(4)
Entry from the Alexandria database: a relaxed CdGeH crystal (GGA-PBE).

```
3
Lattice="2.925 0.000 0.000 -1.462 2.533 0.000 0.000 0.000 6.861" Properties=species:S:1:pos:R:3 pbc="T T T"
H 0.000 0.000 5.701
Ge 0.000 0.000 4.052
Cd 0.000 0.000 0.984
```

Values from the calculation:
* crystal system: hexagonal
* excess energy over the best structure of this formula in the dataset: 11 meV/atom
* E: -2.7486 eV/atom
* mass density: 6.08 g/cm3

***

(5)
Entry from the Alexandria database: a relaxed CdGeH3 crystal (GGA-PBE).

```
5
Lattice="3.925 0.000 0.000 0.000 3.925 0.000 0.000 0.000 3.925" Properties=species:S:1:pos:R:3 pbc="T T T"
Ge 1.963 1.963 1.963
H 0.000 0.000 1.963
H 1.963 0.000 0.000
H 0.000 1.963 0.000
Cd 0.000 0.000 0.000
```

Values from the calculation:
* crystal system: cubic
* excess energy over the best structure of this formula in the dataset: 237 meV/atom
* E: -2.3822 eV/atom
* mass density: 5.16 g/cm3

***

(6)
Entry from the Alexandria database: a relaxed Cd2HgGeH crystal (GGA-PBE).

```
5
Lattice="-3.216 2.829 -3.360 -3.956 -0.055 3.740 1.260 3.068 1.378" Properties=species:S:1:pos:R:3 pbc="T T T"
Hg -2.956 2.921 0.879
Cd -1.608 1.415 -1.680
Cd -1.978 -0.028 1.870
H 0.630 1.534 0.689
Ge 0.000 0.000 0.000
```

Values from the calculation:
* crystal system: tetragonal
* E: -1.8261 eV/atom
* mass density: 7.78 g/cm3